A geometry-optimized HfSbAu2 structure, computed with PBE-GGA.

Computed properties:
The space group is F-43m, No. 216. As for the total energy: -21.10 eV/f.u.

a b c (Å): 4.8504 4.8504 4.8504
angles (deg): 60.00 60.00 60.00
Closest atoms and distances in Å follow each position.
Positions (direct):
Hf 0.0000 0.0000 0.0000  4 Au 2.97, 4 Sb 2.97
Sb 0.7500 0.7500 0.7500  4 Hf 2.97, 4 Au 2.97
Au 0.2500 0.2500 0.2500  4 Au 2.97, 4 Hf 2.97
Au 0.5000 0.5000 0.5000  4 Sb 2.97, 4 Au 2.97

A geometry-optimized Hf3Zr3Sb2Au structure, computed with PBE-GGA.

Computed properties:
The space group is P-62m, No. 189. As for the total energy: -72.04 eV/f.u.

a b c (Å): 7.7708 7.7708 3.7675
angles (deg): 90.00 90.00 120.00
Closest atoms and distances in Å follow each position.
Positions (direct):
Hf 0.0000 0.7469 0.0000  2 Au 2.72, 2 Sb 2.95
Hf 0.2531 0.2531 0.0000  2 Au 2.72, 2 Sb 2.95
Hf 0.7469 0.0000 0.0000  2 Au 2.72, 2 Sb 2.95
Zr 0.0000 0.4061 0.5000  4 Sb 3.02, 1 Au 3.16, 6 Hf 3.25-3.34
Zr 0.4061 0.0000 0.5000  4 Sb 3.02, 1 Au 3.16, 6 Hf 3.25-3.34
Zr 0.5939 0.5939 0.5000  4 Sb 3.02, 1 Au 3.16, 6 Hf 3.25-3.34
Sb 0.3333 0.6667 0.0000  3 Hf 2.95, 6 Zr 3.02
Sb 0.6667 0.3333 0.0000  3 Hf 2.95, 6 Zr 3.02
Au 0.0000 0.0000 0.5000  6 Hf 2.72

A geometry-optimized Hf3Zr3Sb2Au structure, computed with PBE-GGA.

Computed properties:
The space group is P-62m, No. 189. As for the total energy: -71.23 eV/f.u.

a b c (Å): 7.8029 7.8029 3.7517
angles (deg): 90.00 90.00 120.00
Closest atoms and distances in Å follow each position.
Positions (direct):
Hf 0.0000 0.4038 0.0000  4 Sb 3.03, 1 Au 3.15, 6 Zr 3.24-3.34
Hf 0.4038 0.0000 0.0000  4 Sb 3.03, 1 Au 3.15, 6 Zr 3.24-3.34
Hf 0.5962 0.5962 0.0000  4 Sb 3.03, 1 Au 3.15, 6 Zr 3.24-3.34
Zr 0.0000 0.7425 0.5000  2 Au 2.75, 2 Sb 2.94
Zr 0.2575 0.2575 0.5000  2 Au 2.75, 2 Sb 2.94
Zr 0.7425 0.0000 0.5000  2 Au 2.75, 2 Sb 2.94
Sb 0.3333 0.6667 0.5000  3 Zr 2.94, 6 Hf 3.03
Sb 0.6667 0.3333 0.5000  3 Zr 2.94, 6 Hf 3.03
Au 0.0000 0.0000 0.0000  6 Zr 2.75

A geometry-optimized HfScAu6 structure, computed with PBE-GGA.

Computed properties:
The space group is Pmm2, No. 25. As for the total energy: -40.45 eV/f.u.

a b c (Å): 4.8638 5.9949 4.9890
angles (deg): 90.00 90.00 90.00
Closest atoms and distances in Å follow each position.
Positions (direct):
Hf 0.0000 0.0000 0.0000  12 Au 2.88-3.00
Sc 0.5000 0.5000 0.6871  12 Au 2.89-3.00
Au 0.0000 0.2505 0.5067  2 Hf 2.88-2.94, 8 Au 2.89-3.00, 2 Sc 2.99
Au 0.0000 0.5000 0.0019  8 Au 2.89-3.00, 2 Sc 2.90, 2 Hf 3.00
Au 0.0000 0.7495 0.5067  2 Hf 2.88-2.94, 8 Au 2.89-3.00, 2 Sc 2.99
Au 0.5000 0.0000 0.6885  8 Au 2.86-3.00, 2 Hf 2.89, 2 Sc 3.00
Au 0.5000 0.2466 0.1800  8 Au 2.86-3.04, 2 Sc 2.89-2.95, 2 Hf 2.98
Au 0.5000 0.7534 0.1800  8 Au 2.86-3.04, 2 Sc 2.89-2.95, 2 Hf 2.98

A geometry-optimized HfScAu2 structure, computed with PBE-GGA.

Computed properties:
The space group is F-43m, No. 216. As for the total energy: -24.04 eV/f.u.

a b c (Å): 4.7046 4.7046 4.7046
angles (deg): 60.00 60.00 60.00
Closest atoms and distances in Å follow each position.
Positions (direct):
Hf 0.0000 0.0000 0.0000  4 Au 2.88, 4 Sc 2.88
Sc 0.7500 0.7500 0.7500  4 Hf 2.88, 4 Au 2.88
Au 0.2500 0.2500 0.2500  4 Au 2.88, 4 Hf 2.88
Au 0.5000 0.5000 0.5000  4 Sc 2.88, 4 Au 2.88

A geometry-optimized HfSc2Si4Au4 structure, computed with PBE-GGA.

Computed properties:
The space group is Immm, No. 71. As for the total energy: -62.90 eV/f.u.

a b c (Å): 7.9371 7.9371 7.9371
angles (deg): 149.76 129.32 60.17
Closest atoms and distances in Å follow each position.
Positions (direct):
Hf 0.0000 0.0000 0.0000  6 Si 2.94-3.00
Sc 0.3810 0.8810 0.5000  6 Si 2.91-3.09, 6 Au 2.95-3.26
Sc 0.6190 0.1190 0.5000  6 Si 2.91-3.09, 6 Au 2.95-3.26
Si 0.2139 0.2139 0.0000  6 Au 2.58
Si 0.3201 0.5000 0.8201  2 Au 2.42, 1 Si 2.44
Si 0.6799 0.5000 0.1799  2 Au 2.42, 1 Si 2.44
Si 0.7861 0.7861 0.0000  6 Au 2.58
Au 0.0396 0.3329 0.7066  4 Si 2.42-2.58
Au 0.3737 0.6671 0.7066  4 Si 2.42-2.58
Au 0.6263 0.3329 0.2934  4 Si 2.42-2.58
Au 0.9604 0.6671 0.2934  4 Si 2.42-2.58

Results for mass density: 14.3, 10.5, 10.5, 16.0, 13.9, 10.0 (in g/cm3, following the order of the records).